BaNb3Ge after structural relaxation. Source: Alexandria, functional PBE.

Unit cell a=5.095 b=5.095 c=5.095 alpha=90.00 beta=90.00 gamma=90.00
Atoms (fractional coordinates):
Ba  0.000  0.000  0.000
Nb  0.000  0.000  0.500
Nb  0.000  0.500  0.000
Nb  0.500  0.000  0.000
Ge  0.500  0.500  0.500

## Properties
E_tot = -4.799 eV per atom
Energy relative to the lowest polymorph listed for this composition = 1605 meV per atom
Size of the total moment = 0.0 Bohr magnetons per cell
Formation energy from the elements = 246.08 kJ/mol of atoms